Below is a relaxed structure of LiUIn2, with properties calculated at the PBE level.

Lattice parameters (Å, degrees): 5.6738 5.6738 2.9705 90.00 90.00 90.00
Closest atoms and distances in Å follow each position.
Space group P4/mmm (No. 123)
Symmetry-distinct sites (fractional):
Li1 0.0000 0.0000 0.0000 [1 per cell]  2 Li 2.97, 8 In 3.20
U1 0.5000 0.5000 0.0000 [1 per cell]  2 U 2.97, 8 In 3.20
In1 0.0000 0.5000 0.5000 [2 per cell]  2 In 2.97, 4 Li 3.20, 4 U 3.20

Properties
ΔE_f in meV/atom: 15